DFT (GGA-PBEsol) results for a relaxed structure of Zr6Al2Fe.

Summary:
- E_form (eV/f.u.) = -2.795

a b c (Å): 3.270 7.856 7.856
angles (deg): 120.00 90.00 90.00
Element x y z (fractional)
Al  0.500  0.667  0.333
Al  0.500  0.333  0.667
Zr  0.500  0.751  0.751
Zr  0.500  0.000  0.249
Zr  0.500  0.249  0.000
Zr  0.000  0.397  0.397
Zr  0.000  0.000  0.603
Zr  0.000  0.603  0.000
Fe  0.000  0.000  0.000

***

DFT (GGA-PBEsol) results for a relaxed structure of Zr2Al6Fe.

Summary:
- E_form (eV/f.u.) = -0.787

a b c (Å): 2.954 7.732 7.732
angles (deg): 120.00 90.00 90.00
Element x y z (fractional)
Al  0.500  0.753  0.753
Al  0.500  0.000  0.247
Al  0.500  0.247  0.000
Al  0.000  0.340  0.340
Al  0.000  0.000  0.660
Al  0.000  0.660  0.000
Fe  0.000  0.000  0.000
Zr  0.500  0.667  0.333
Zr  0.500  0.333  0.667

***

DFT (GGA-PBEsol) results for a relaxed structure of ZrAl2Fe.

Summary:
- E_form (eV/f.u.) = -1.516

a b c (Å): 2.937 2.937 6.916
angles (deg): 90.00 90.00 90.00
Element x y z (fractional)
Fe  0.500  0.500  0.000
Zr  0.500  0.500  0.500
Al  0.000  0.000  0.808
Al  0.000  0.000  0.192

***

DFT (GGA-PBEsol) results for a relaxed structure of ZrAl6Fe6.

Summary:
- E_form (eV/f.u.) = -5.113

a b c (Å): 4.887 6.402 6.402
angles (deg): 80.95 67.56 67.56
Element x y z (fractional)
Zr  0.000  0.000  0.000
Al  0.344  0.656  0.656
Al  0.656  0.344  0.344
Al  0.000  0.335  0.665
Al  0.000  0.665  0.335
Al  0.315  0.185  0.185
Al  0.685  0.815  0.815
Fe  0.000  0.500  0.000
Fe  0.500  0.500  0.000
Fe  0.000  0.000  0.500
Fe  0.500  0.000  0.500
Fe  0.500  0.761  0.239
Fe  0.500  0.239  0.761

***

DFT (GGA-PBEsol) results for a relaxed structure of Zr3AlFe8.

Summary:
- E_form (eV/f.u.) = -3.655

a b c (Å): 4.825 4.825 8.358
angles (deg): 73.22 73.22 60.00
Element x y z (fractional)
Zr  0.376  0.376  0.873
Zr  0.996  0.996  0.011
Zr  0.503  0.503  0.492
Al  0.874  0.874  0.379
Fe  0.436  0.436  0.190
Fe  0.938  0.938  0.684
Fe  0.436  0.937  0.190
Fe  0.938  0.441  0.684
Fe  0.188  0.188  0.436
Fe  0.688  0.688  0.937
Fe  0.937  0.436  0.190
Fe  0.441  0.938  0.684

***

DFT (GGA-PBEsol) results for a relaxed structure of Zr2AlFe.

Summary:
- E_form (eV/f.u.) = -0.939

a b c (Å): 3.123 4.572 5.541
angles (deg): 114.34 106.37 90.00
Element x y z (fractional)
Fe  0.247  0.747  0.495
Zr  0.963  0.963  0.926
Zr  0.747  0.247  0.494
Al  0.543  0.543  0.085

***

DFT (GGA-PBEsol) results for a relaxed structure of ZrAl2Fe.

Summary:
- E_form (eV/f.u.) = -1.269

a b c (Å): 3.024 3.024 6.610
angles (deg): 90.00 90.00 90.00
Element x y z (fractional)
Fe  0.000  0.000  0.466
Zr  0.500  0.500  0.720
Al  0.000  0.000  0.027
Al  0.500  0.500  0.286

***

DFT (GGA-PBEsol) results for a relaxed structure of ZrAl2Fe.

Summary:
- E_form (eV/f.u.) = -0.590

a b c (Å): 2.843 4.257 5.238
angles (deg): 90.00 97.72 90.00
Element x y z (fractional)
Fe  0.498  0.000  0.462
Zr  0.301  0.500  0.758
Al  0.879  0.000  0.003
Al  0.822  0.500  0.277

***

DFT (GGA-PBEsol) results for a relaxed structure of AlGa3.

Summary:
- E_form (eV/f.u.) = 0.083

a b c (Å): 3.963 3.963 5.180
angles (deg): 112.49 112.49 90.00
Element x y z (fractional)
Al  0.000  0.000  0.000
Ga  0.250  0.750  0.500
Ga  0.750  0.250  0.500
Ga  0.500  0.500  0.000

***

DFT (GGA-PBEsol) results for a relaxed structure of GdAlGa.

Summary:
- E_form (eV/f.u.) = -1.821

a b c (Å): 3.549 4.432 4.432
angles (deg): 120.00 90.00 90.00
Element x y z (fractional)
Gd  0.000  0.333  0.667
Al  0.500  0.000  0.000
Ga  0.500  0.667  0.333

***

DFT (GGA-PBEsol) results for a relaxed structure of Al2GaGe.

Summary:
- E_form (eV/f.u.) = 0.572

a b c (Å): 5.518 5.837 5.837
angles (deg): 77.09 61.79 61.79
Element x y z (fractional)
Ge  0.750  0.500  0.500
Ge  0.000  0.000  0.000
Al  0.107  0.018  0.518
Al  0.643  0.982  0.482
Al  0.375  0.518  0.982
Al  0.875  0.482  0.018
Ga  0.250  0.500  0.500
Ga  0.500  0.000  0.000

***

DFT (GGA-PBEsol) results for a relaxed structure of Al2GaGe.

Summary:
- E_form (eV/f.u.) = 0.440

a b c (Å): 4.601 4.601 4.601
angles (deg): 60.00 60.00 60.00
Element x y z (fractional)
Ge  0.500  0.500  0.500
Al  0.250  0.250  0.250
Al  0.750  0.750  0.750
Ga  0.000  0.000  0.000

***

DFT (GGA-PBEsol) results for a relaxed structure of AlTlGa2Ge.

Summary:
- E_form (eV/f.u.) = 2.867

a b c (Å): 4.842 4.842 5.280
angles (deg): 90.00 90.00 90.00
Element x y z (fractional)
Tl  0.000  0.000  0.500
Ge  0.500  0.500  0.500
Ga  0.000  0.500  0.000
Ga  0.500  0.000  0.000
Al  0.000  0.000  0.000

***

DFT (GGA-PBEsol) results for a relaxed structure of AlGa3H.

Summary:
- total energy (eV/cell) = -16.39

a b c (Å): 4.191 4.191 4.191
angles (deg): 90.00 90.00 90.00
Element x y z (fractional)
H  0.000  0.000  0.000
Al  0.500  0.500  0.500
Ga  0.000  0.500  0.000
Ga  0.000  0.000  0.500
Ga  0.500  0.000  0.000

***

DFT (GGA-PBEsol) results for a relaxed structure of HfAlGa3.

Summary:
- E_form (eV/f.u.) = 3.069

a b c (Å): 4.694 4.694 4.694
angles (deg): 90.00 90.00 90.00
Element x y z (fractional)
Hf  0.500  0.500  0.500
Al  0.000  0.000  0.000
Ga  0.000  0.500  0.000
Ga  0.000  0.000  0.500
Ga  0.500  0.000  0.000

***

DFT (GGA-PBEsol) results for a relaxed structure of Al2Ga2Hg.

Summary:
- E_form (eV/f.u.) = 0.302

a b c (Å): 2.769 8.204 8.204
angles (deg): 90.00 90.00 90.00
Element x y z (fractional)
Hg  0.000  0.000  0.000
Hg  0.000  0.500  0.500
Ga  0.000  0.343  0.843
Ga  0.000  0.843  0.657
Ga  0.000  0.657  0.157
Ga  0.000  0.157  0.343
Al  0.500  0.140  0.640
Al  0.500  0.640  0.860
Al  0.500  0.860  0.360
Al  0.500  0.360  0.140

***

DFT (GGA-PBEsol) results for a relaxed structure of AlGa2Hg.

Summary:
- E_form (eV/f.u.) = 0.508

a b c (Å): 4.769 4.769 4.769
angles (deg): 60.00 60.00 60.00
Element x y z (fractional)
Hg  0.500  0.500  0.500
Ga  0.250  0.250  0.250
Ga  0.750  0.750  0.750
Al  0.000  0.000  0.000

***

DFT (GGA-PBEsol) results for a relaxed structure of AlGaHg2.

Summary:
- E_form (eV/f.u.) = 0.474

a b c (Å): 4.876 4.876 4.876
angles (deg): 60.00 60.00 60.00
Element x y z (fractional)
Hg  0.250  0.250  0.250
Hg  0.750  0.750  0.750
Ga  0.500  0.500  0.500
Al  0.000  0.000  0.000

***

DFT (GGA-PBEsol) results for a relaxed structure of Al2Ga2Hg.

Summary:
- E_form (eV/f.u.) = 0.402

a b c (Å): 4.138 4.138 6.363
angles (deg): 108.98 108.98 90.00
Element x y z (fractional)
Hg  0.000  0.000  0.000
Ga  0.393  0.393  0.786
Ga  0.607  0.607  0.214
Al  0.250  0.750  0.500
Al  0.750  0.250  0.500

***

DFT (GGA-PBEsol) results for a relaxed structure of AlGa3I.

Summary:
- total energy (eV/cell) = -11.05

a b c (Å): 5.707 5.707 5.707
angles (deg): 90.00 90.00 90.00
Element x y z (fractional)
I  0.000  0.000  0.000
Al  0.500  0.500  0.500
Ga  0.000  0.500  0.000
Ga  0.000  0.000  0.500
Ga  0.500  0.000  0.000